Here is crystalline Ce3Nd2Rh2 at its relaxed geometry from Alexandria. Energies are from PBE-GGA.

N(E_F)	12.63	states/eV/f.u.
ΔE_f	-0.4274	eV per atom
SG	C2/m, No. 12
total DFT energy (no corrections)	-0.2364	hartree per atom

Cell: 6.1542 6.1542 8.7684 Å, 115.74 115.74 39.00°
Fractional coordinates of all 7 atoms:
Ce 0.0000 0.0000 0.0000
Ce 0.1606 0.1606 0.4607
Ce 0.8394 0.8394 0.5393
Nd 0.3562 0.3562 0.2063
Nd 0.6438 0.6438 0.7937
Rh 0.3486 0.3486 0.8208
Rh 0.6514 0.6514 0.1792


Here is crystalline TiNbCu at its relaxed geometry from Alexandria. Energies are from PBE-GGA.

N(E_F)	3.01	states/eV/f.u.
ΔE_f	-0.0292	eV per atom
SG	P2_1/m, No. 11
energy above the most stable polymorph in this dataset	64.3	meV per atom
total DFT energy (no corrections)	-0.2713	hartree per atom

Cell: 2.8080 4.4464 7.6421 Å, 90.00 95.91 90.00°
Fractional coordinates of all 6 atoms:
Ti 0.0076 0.2500 0.2122
Ti 0.9924 0.7500 0.7878
Nb 0.3230 0.7500 0.4223
Nb 0.6770 0.2500 0.5777
Cu 0.4429 0.2500 0.9102
Cu 0.5571 0.7500 0.0898


Here is crystalline Er2TmGa3 at its relaxed geometry from Alexandria. Energies are from PBE-GGA.

N(E_F)	2.67	states/eV/f.u.
ΔE_f	-0.5723	eV per atom
SG	P-3m1, No. 164
energy above the most stable polymorph in this dataset	0.0	meV per atom
total DFT energy (no corrections)	-0.1599	hartree per atom

Cell: 4.9966 4.9966 12.2570 Å, 90.00 90.00 120.00°
Fractional coordinates of all 12 atoms:
Er 0.0000 0.0000 0.0000
Er 0.0000 0.0000 0.5000
Er 0.3333 0.6667 0.1673
Er 0.6667 0.3333 0.8327
Tm 0.3333 0.6667 0.6667
Tm 0.6667 0.3333 0.3333
Ga 0.0000 0.0000 0.2504
Ga 0.0000 0.0000 0.7496
Ga 0.3333 0.6667 0.4171
Ga 0.3333 0.6667 0.9164
Ga 0.6667 0.3333 0.0836
Ga 0.6667 0.3333 0.5829


Here is crystalline BiPb3S6 at its relaxed geometry from Alexandria. Energies are from PBE-GGA.

N(E_F)	6.08	states/eV/f.u.
SG	P2_1/m, No. 11
ΔE_f (raw)	-0.2003	eV per atom
total DFT energy (no corrections)	-0.1535	hartree per atom

Cell: 11.3342 4.0427 11.9374 Å, 90.00 107.97 90.00°
Fractional coordinates of all 20 atoms:
Bi 0.0512 0.2500 0.1653
Bi 0.9488 0.7500 0.8347
Pb 0.1504 0.2500 0.5898
Pb 0.3350 0.7500 0.0160
Pb 0.4403 0.2500 0.3378
Pb 0.5597 0.7500 0.6622
Pb 0.6650 0.2500 0.9840
Pb 0.8496 0.7500 0.4102
S 0.0896 0.7500 0.4162
S 0.1064 0.2500 0.9567
S 0.1828 0.7500 0.7466
S 0.2491 0.7500 0.2199
S 0.3832 0.2500 0.5620
S 0.4933 0.2500 0.1287
S 0.5067 0.7500 0.8713
S 0.6168 0.7500 0.4380
S 0.7509 0.2500 0.7801
S 0.8172 0.2500 0.2534
S 0.8936 0.7500 0.0433
S 0.9104 0.2500 0.5838


Here is crystalline Ho8TlAg2 at its relaxed geometry from Alexandria. Energies are from PBE-GGA.

N(E_F)	15.35	states/eV/f.u.
ΔE_f	-0.0446	eV per atom
SG	C2/m, No. 12
energy above the most stable polymorph in this dataset	106.5	meV per atom
total DFT energy (no corrections)	-0.1509	hartree per atom

Cell: 8.3210 8.3210 5.4315 Å, 99.87 99.87 116.97°
Fractional coordinates of all 11 atoms:
Ho 0.0929 0.3287 0.6038
Ho 0.2280 0.7720 0.0000
Ho 0.3287 0.0929 0.6038
Ho 0.3962 0.3962 0.1963
Ho 0.6038 0.6038 0.8037
Ho 0.6713 0.9071 0.3962
Ho 0.7720 0.2280 0.0000
Ho 0.9071 0.6713 0.3962
Tl 0.0000 0.0000 0.0000
Ag 0.3037 0.6963 0.5000
Ag 0.6963 0.3037 0.5000


Here is crystalline Co4Ag3 at its relaxed geometry from Alexandria. Energies are from PBE-GGA.

N(E_F)	4.87	states/eV/f.u.
ΔE_f	0.2524	eV per atom
SG	I4/mmm, No. 139
total DFT energy (no corrections)	-0.1849	hartree per atom

Cell: 13.0252 13.0252 13.0252 Å, 167.84 167.84 17.23°
Fractional coordinates of all 7 atoms:
Co 0.0771 0.0771 0.0000
Co 0.3712 0.3712 0.0000
Co 0.6288 0.6288 0.0000
Co 0.9229 0.9229 0.0000
Ag 0.2064 0.2064 0.0000
Ag 0.5000 0.5000 0.0000
Ag 0.7936 0.7936 0.0000


Here is crystalline La4Sb3N2 at its relaxed geometry from Alexandria. Energies are from PBE-GGA.

N(E_F)	5.65	states/eV/f.u.
SG	C2/m, No. 12
ΔE_f (raw)	-1.1444	eV per atom
total DFT energy (no corrections)	-0.2410	hartree per atom

Cell: 7.7286 7.7286 10.6098 Å, 124.50 124.50 32.33°
Fractional coordinates of all 9 atoms:
La 0.1225 0.1225 0.3930
La 0.3037 0.3037 0.8391
La 0.6963 0.6963 0.1609
La 0.8775 0.8775 0.6070
Sb 0.0000 0.0000 0.0000
Sb 0.4149 0.4149 0.3387
Sb 0.5851 0.5851 0.6613
N 0.3030 0.3030 0.6354
N 0.6970 0.6970 0.3646


Here is crystalline Sm2MgNi2 at its relaxed geometry from Alexandria. Energies are from PBE-GGA.

N(E_F)	3.99	states/eV/f.u.
ΔE_f	-0.3305	eV per atom
SG	Cmmm, No. 65
total DFT energy (no corrections)	-0.1782	hartree per atom

Cell: 7.5261 7.5261 3.7808 Å, 90.00 90.00 149.14°
Fractional coordinates of all 5 atoms:
Sm 0.1403 0.8597 0.0000
Sm 0.8597 0.1403 0.0000
Mg 0.5000 0.5000 0.5000
Ni 0.2998 0.7002 0.5000
Ni 0.7002 0.2998 0.5000